The following is a GGA-PBE calculation of Y2Ge4Ir3Pd after structural relaxation, from Alexandria.

Cell lengths 4.2226, 4.2226, 10.2620 Å; angles 90.00, 90.00, 90.00 degrees
Atoms (fractional coordinates):
Y (0.0000, 0.5000, 0.2414)
Y (0.5000, 0.0000, 0.7586)
Ge (0.0000, 0.0000, 0.0000)
Ge (0.0000, 0.5000, 0.6362)
Ge (0.5000, 0.0000, 0.3638)
Ge (0.5000, 0.5000, 0.0000)
Ir (0.0000, 0.5000, 0.8716)
Ir (0.5000, 0.0000, 0.1284)
Ir (0.5000, 0.5000, 0.5000)
Pd (0.0000, 0.0000, 0.5000)

Values from the calculation:
Density, g/cm3: 10.4
Total moment, μB/f.u.: 0.0
E, eV/atom: -7.075